(1)
{"formula": "Ho6ErPu", "functional": "GGA-PBE", "state": "optimized geometry", "total_magnetization_mub_per_fu": 7.71, "lattice_angstrom": [[-6.778, 1.088, 0.809], [-2.822, -0.735, 6.246], [-0.336, 5.457, 4.294]], "species": ["Ho", "Ho", "Ho", "Ho", "Ho", "Ho", "Er", "Pu"], "fractional_positions": [[0.748, 0.488, 0.560], [0.748, 0.048, 0.440], [0.252, 0.952, 0.560], [0.252, 0.512, 0.440], [0.740, 0.736, 0.000], [0.260, 0.264, 0.000], [0.000, 0.000, 0.000], [0.500, 0.500, 0.000]]}

(2)
{"formula": "HoEr4Pu", "functional": "GGA-PBE", "state": "optimized geometry", "total_magnetization_mub_per_fu": 6.55, "lattice_angstrom": [[-6.487, -1.088, 5.585], [8.371, -2.093, -0.029], [0.814, 8.568, 0.621]], "species": ["Ho", "Ho", "Er", "Er", "Er", "Er", "Er", "Er", "Er", "Er", "Pu", "Pu"], "fractional_positions": [[0.228, 0.228, 0.000], [0.978, 0.478, 0.500], [0.261, 0.989, 0.728], [0.750, 0.498, 0.747], [0.739, 0.511, 0.228], [0.248, 0.000, 0.247], [0.283, 0.511, 0.772], [0.753, 0.000, 0.753], [0.750, 0.003, 0.253], [0.261, 0.533, 0.272], [0.750, 0.750, 0.000], [0.500, 0.000, 0.500]]}

(3)
{"formula": "Ho4Er5Pu", "functional": "GGA-PBE", "state": "optimized geometry", "total_magnetization_mub_per_fu": 6.31, "lattice_angstrom": [[0.238, -1.131, -3.279], [8.405, -6.764, 2.943], [1.109, -10.273, 5.466]], "species": ["Ho", "Ho", "Ho", "Ho", "Er", "Er", "Er", "Er", "Er", "Pu"], "fractional_positions": [[0.605, 0.084, 0.210], [0.915, 0.374, 0.830], [0.395, 0.916, 0.790], [0.085, 0.626, 0.170], [0.190, 0.198, 0.380], [0.211, 0.696, 0.421], [0.789, 0.304, 0.579], [0.500, 0.500, 0.000], [0.810, 0.802, 0.620], [0.500, 0.000, 0.000]]}

(4)
{"formula": "Ho2Er4Pu", "functional": "GGA-PBE", "state": "optimized geometry", "total_magnetization_mub_per_fu": 6.43, "lattice_angstrom": [[-6.497, -1.085, 2.095], [2.529, -5.868, 2.637], [2.905, 5.667, 1.628]], "species": ["Pu", "Ho", "Ho", "Er", "Er", "Er", "Er"], "fractional_positions": [[0.214, 0.786, 0.000], [0.214, 0.786, 0.500], [0.714, 0.286, 0.500], [0.762, 0.870, 0.000], [0.130, 0.238, 0.000], [0.298, 0.333, 0.632], [0.667, 0.702, 0.368]]}

(5)
{"formula": "Ho6ErPu", "functional": "GGA-PBE", "state": "optimized geometry", "total_magnetization_mub_per_fu": 6.68, "lattice_angstrom": [[5.621, 0.000, 0.000], [0.000, 6.535, -2.778], [0.000, -0.861, 7.049]], "species": ["Ho", "Ho", "Ho", "Ho", "Ho", "Ho", "Er", "Pu"], "fractional_positions": [[0.000, 0.831, 0.169], [0.000, 0.338, 0.169], [0.000, 0.333, 0.667], [0.500, 0.668, 0.834], [0.500, 0.166, 0.834], [0.500, 0.166, 0.332], [0.000, 0.831, 0.662], [0.500, 0.667, 0.333]]}

(6)
{"formula": "Ho14ErPu", "functional": "GGA-PBE", "state": "optimized geometry", "total_magnetization_mub_per_fu": 5.85, "lattice_angstrom": [[7.110, -0.917, 0.000], [-2.759, 6.616, 0.000], [0.000, 0.000, 11.168]], "species": ["Ho", "Ho", "Ho", "Ho", "Ho", "Ho", "Ho", "Ho", "Ho", "Ho", "Ho", "Ho", "Ho", "Ho", "Er", "Pu"], "fractional_positions": [[0.333, 0.667, 0.500], [0.833, 0.167, 0.500], [0.833, 0.666, 0.000], [0.834, 0.667, 0.500], [0.334, 0.167, 0.000], [0.333, 0.166, 0.500], [0.668, 0.837, 0.752], [0.668, 0.837, 0.248], [0.163, 0.332, 0.752], [0.163, 0.332, 0.248], [0.167, 0.833, 0.749], [0.167, 0.833, 0.251], [0.668, 0.332, 0.752], [0.668, 0.332, 0.248], [0.334, 0.666, 0.000], [0.833, 0.167, 0.000]]}

(7)
{"formula": "Ho4ErPu", "functional": "GGA-PBE", "state": "optimized geometry", "total_magnetization_mub_per_fu": 6.71, "lattice_angstrom": [[-2.706, 1.064, 4.733], [-2.234, -10.669, 1.122], [6.401, -1.268, 0.685]], "species": ["Ho", "Ho", "Ho", "Ho", "Ho", "Ho", "Ho", "Ho", "Er", "Er", "Pu", "Pu"], "fractional_positions": [[0.982, 0.180, 0.963], [0.018, 0.680, 0.037], [0.472, 0.964, 0.945], [0.528, 0.464, 0.055], [0.824, 0.456, 0.648], [0.176, 0.956, 0.352], [0.673, 0.183, 0.346], [0.327, 0.683, 0.654], [0.664, 0.738, 0.329], [0.336, 0.238, 0.671], [0.863, 0.913, 0.726], [0.137, 0.413, 0.274]]}

(8)
{"formula": "Ho7Er2Pu", "functional": "GGA-PBE", "state": "optimized geometry", "total_magnetization_mub_per_fu": 5.34, "lattice_angstrom": [[3.427, 0.000, 0.000], [0.000, 9.760, -2.601], [0.000, -0.579, 10.084]], "species": ["Ho", "Ho", "Ho", "Ho", "Ho", "Ho", "Ho", "Er", "Er", "Pu"], "fractional_positions": [[0.000, 0.674, 0.326], [0.000, 0.326, 0.674], [0.500, 0.128, 0.390], [0.500, 0.872, 0.610], [0.500, 0.390, 0.128], [0.500, 0.610, 0.872], [0.500, 0.500, 0.500], [0.500, 0.835, 0.165], [0.500, 0.165, 0.835], [0.000, 0.000, 0.000]]}

(9)
{"formula": "Ho3Er5Pu", "functional": "GGA-PBE", "state": "optimized geometry", "total_magnetization_mub_per_fu": 6.86, "lattice_angstrom": [[-8.080, 4.763, 0.055], [-6.012, -5.218, -4.960], [-10.288, -3.802, 3.325]], "species": ["Ho", "Ho", "Ho", "Ho", "Ho", "Ho", "Er", "Er", "Er", "Er", "Er", "Er", "Er", "Er", "Er", "Er", "Pu", "Pu"], "fractional_positions": [[0.687, 0.687, 0.822], [0.663, 0.663, 0.361], [0.000, 0.000, 0.000], [0.000, 0.000, 0.500], [0.313, 0.313, 0.178], [0.337, 0.337, 0.639], [0.853, 0.354, 0.252], [0.258, 0.742, 0.000], [0.819, 0.819, 0.956], [0.487, 0.487, 0.238], [0.513, 0.513, 0.762], [0.181, 0.181, 0.044], [0.354, 0.853, 0.252], [0.742, 0.258, 0.000], [0.147, 0.646, 0.748], [0.646, 0.147, 0.748], [0.152, 0.152, 0.592], [0.848, 0.848, 0.408]]}

(10)
{"formula": "Ho4ErPu", "functional": "GGA-PBE", "state": "optimized geometry", "total_magnetization_mub_per_fu": 6.00, "lattice_angstrom": [[3.361, -0.301, -0.897], [-1.630, 8.818, -2.239], [-1.828, -1.951, 7.355]], "species": ["Ho", "Ho", "Ho", "Ho", "Er", "Pu"], "fractional_positions": [[0.834, 0.668, 0.500], [0.166, 0.332, 0.500], [0.343, 0.673, 0.006], [0.657, 0.327, 0.994], [0.000, 0.000, 0.000], [0.500, 0.000, 0.500]]}

(11)
{"formula": "Ho2Er3Pu", "functional": "GGA-PBE", "state": "optimized geometry", "total_magnetization_mub_per_fu": 5.47, "lattice_angstrom": [[-3.118, -3.562, 8.076], [3.527, 2.022, 7.679], [1.728, 7.264, 9.296]], "species": ["Ho", "Ho", "Ho", "Ho", "Er", "Er", "Er", "Er", "Er", "Er", "Pu", "Pu"], "fractional_positions": [[0.853, 0.355, 0.381], [0.590, 0.145, 0.119], [0.410, 0.856, 0.881], [0.147, 0.644, 0.619], [0.616, 0.250, 0.750], [0.384, 0.750, 0.250], [0.312, 0.062, 0.480], [0.854, 0.438, 0.020], [0.688, 0.938, 0.520], [0.146, 0.562, 0.980], [0.000, 0.500, 0.500], [0.000, 0.000, 0.000]]}

(12)
{"formula": "HoEr14Pu", "functional": "GGA-PBE", "state": "optimized geometry", "total_magnetization_mub_per_fu": 5.98, "lattice_angstrom": [[6.936, 0.931, 0.000], [-0.931, 6.936, 0.000], [0.000, 0.000, 9.874]], "species": ["Ho", "Er", "Er", "Er", "Er", "Er", "Er", "Er", "Er", "Er", "Er", "Er", "Er", "Er", "Er", "Pu"], "fractional_positions": [[0.375, 0.625, 0.000], [0.375, 0.625, 0.500], [0.875, 0.125, 0.500], [0.875, 0.625, 0.000], [0.875, 0.625, 0.500], [0.375, 0.125, 0.000], [0.375, 0.125, 0.500], [0.627, 0.877, 0.751], [0.627, 0.877, 0.249], [0.123, 0.373, 0.751], [0.123, 0.373, 0.249], [0.123, 0.877, 0.751], [0.123, 0.877, 0.249], [0.627, 0.373, 0.751], [0.627, 0.373, 0.249], [0.875, 0.125, 0.000]]}

(13)
{"formula": "Ho2ErPu", "functional": "GGA-PBE", "state": "optimized geometry", "total_magnetization_mub_per_fu": 6.10, "lattice_angstrom": [[3.470, 0.000, 0.000], [0.000, 3.470, 0.000], [0.000, 0.000, 9.951]], "species": ["Er", "Ho", "Ho", "Pu"], "fractional_positions": [[0.500, 0.500, 0.000], [0.000, 0.000, 0.746], [0.000, 0.000, 0.254], [0.500, 0.500, 0.500]]}

(14)
{"formula": "Ho3Er4Pu", "functional": "GGA-PBE", "state": "optimized geometry", "total_magnetization_mub_per_fu": 6.03, "lattice_angstrom": [[3.295, 0.002, -0.798], [-1.170, 10.279, -4.860], [0.274, -2.377, 8.352]], "species": ["Pu", "Ho", "Ho", "Ho", "Er", "Er", "Er", "Er"], "fractional_positions": [[0.500, 0.000, 0.000], [0.000, 0.500, 0.000], [0.763, 0.763, 0.525], [0.237, 0.237, 0.475], [0.632, 0.380, 0.264], [0.368, 0.620, 0.736], [0.368, 0.116, 0.736], [0.632, 0.884, 0.264]]}

(15)
{"formula": "Ho3Er7Pu", "functional": "GGA-PBE", "state": "optimized geometry", "total_magnetization_mub_per_fu": 6.40, "lattice_angstrom": [[-7.025, -0.019, 4.699], [0.776, -6.805, 1.133], [2.886, 4.591, 4.333]], "species": ["Ho", "Ho", "Ho", "Er", "Er", "Er", "Er", "Er", "Er", "Er", "Pu"], "fractional_positions": [[0.780, 0.498, 0.502], [0.780, 0.498, 0.996], [0.780, 0.004, 0.502], [0.121, 0.169, 0.831], [0.121, 0.169, 0.338], [0.116, 0.667, 0.333], [0.448, 0.832, 0.168], [0.448, 0.335, 0.168], [0.448, 0.832, 0.665], [0.121, 0.662, 0.831], [0.451, 0.333, 0.667]]}

(16)
{"formula": "Ho3Er4Pu", "functional": "GGA-PBE", "state": "optimized geometry", "total_magnetization_mub_per_fu": 6.85, "lattice_angstrom": [[5.590, 0.000, 0.000], [0.000, 14.259, 0.000], [0.000, 0.000, 6.843]], "species": ["Ho", "Ho", "Ho", "Ho", "Ho", "Ho", "Er", "Er", "Er", "Er", "Er", "Er", "Er", "Er", "Pu", "Pu"], "fractional_positions": [[0.564, 0.632, 0.000], [0.064, 0.575, 0.255], [0.564, 0.425, 0.245], [0.064, 0.368, 0.500], [0.564, 0.425, 0.755], [0.064, 0.575, 0.745], [0.064, 0.771, 0.000], [0.565, 0.099, 0.000], [0.065, 0.156, 0.259], [0.565, 0.844, 0.241], [0.065, 0.901, 0.500], [0.564, 0.229, 0.500], [0.565, 0.844, 0.759], [0.065, 0.156, 0.741], [0.065, 0.975, 0.000], [0.565, 0.025, 0.500]]}

(17)
{"formula": "Ho2ErPu", "functional": "GGA-PBE", "state": "optimized geometry", "total_magnetization_mub_per_fu": 6.40, "lattice_angstrom": [[-1.328, 0.355, -3.131], [-0.603, -2.762, -1.925], [-11.820, -1.601, 2.962]], "species": ["Er", "Ho", "Ho", "Pu"], "fractional_positions": [[0.500, 0.500, 0.500], [0.089, 0.089, 0.733], [0.911, 0.911, 0.267], [0.000, 0.000, 0.000]]}

(18)
{"formula": "Ho2Er8Pu", "functional": "GGA-PBE", "state": "optimized geometry", "total_magnetization_mub_per_fu": 6.99, "lattice_angstrom": [[5.210, 0.000, -1.582], [-0.953, 7.060, -3.140], [-0.020, -0.158, 9.303]], "species": ["Pu", "Ho", "Ho", "Er", "Er", "Er", "Er", "Er", "Er", "Er", "Er"], "fractional_positions": [[0.500, 0.000, 0.000], [0.198, 0.698, 0.396], [0.802, 0.302, 0.604], [0.635, 0.849, 0.270], [0.365, 0.579, 0.730], [0.168, 0.168, 0.335], [0.000, 0.283, 0.000], [0.832, 0.832, 0.665], [0.635, 0.421, 0.270], [0.365, 0.151, 0.730], [0.000, 0.717, 0.000]]}

(19)
{"formula": "Ho6Er5Pu", "functional": "GGA-PBE", "state": "optimized geometry", "total_magnetization_mub_per_fu": 6.55, "lattice_angstrom": [[0.952, 3.806, 4.637], [-3.142, -0.648, 5.155], [8.401, -5.685, 5.601]], "species": ["Pu", "Ho", "Ho", "Ho", "Ho", "Ho", "Ho", "Er", "Er", "Er", "Er", "Er"], "fractional_positions": [[0.000, 0.000, 0.000], [0.587, 0.330, 0.248], [0.083, 0.330, 0.752], [0.753, 0.000, 0.752], [0.247, 0.000, 0.248], [0.917, 0.670, 0.248], [0.413, 0.670, 0.752], [0.167, 0.665, 0.500], [0.333, 0.333, 0.000], [0.500, 0.000, 0.500], [0.667, 0.667, 0.000], [0.833, 0.335, 0.500]]}

(20)
{"formula": "Ho2ErPu", "functional": "GGA-PBE", "state": "optimized geometry", "total_magnetization_mub_per_fu": 5.84, "lattice_angstrom": [[-2.019, 2.781, 0.745], [-3.432, -0.438, 0.629], [0.367, -0.572, 11.426]], "species": ["Ho", "Ho", "Er", "Pu"], "fractional_positions": [[0.083, 0.083, 0.752], [0.251, 0.251, 0.248], [0.500, 0.500, 0.499], [0.666, 0.666, 0.001]]}

(21)
{"formula": "Ho2ErPu", "functional": "GGA-PBE", "state": "optimized geometry", "total_magnetization_mub_per_fu": 6.26, "lattice_angstrom": [[-0.866, -2.836, -3.940], [4.594, -1.778, 0.270], [-1.575, -3.624, 2.954]], "species": ["Er", "Ho", "Ho", "Pu"], "fractional_positions": [[0.500, 0.500, 0.500], [0.000, 0.000, 0.500], [0.000, 0.500, 0.000], [0.500, 0.000, 0.000]]}

(22)
{"formula": "Ho3Er8Pu2", "functional": "GGA-PBE", "state": "optimized geometry", "total_magnetization_mub_per_fu": 14.62, "lattice_angstrom": [[5.412, 0.413, -1.378], [-1.319, 6.412, -3.259], [2.488, 1.556, 10.261]], "species": ["Ho", "Ho", "Ho", "Er", "Er", "Er", "Er", "Er", "Er", "Er", "Er", "Pu", "Pu"], "fractional_positions": [[0.500, 0.000, 0.000], [0.000, 0.273, 0.000], [0.000, 0.727, 0.000], [0.000, 0.324, 0.647], [0.000, 0.676, 0.353], [0.000, 0.859, 0.717], [0.000, 0.141, 0.283], [0.500, 0.832, 0.225], [0.500, 0.394, 0.225], [0.500, 0.606, 0.775], [0.500, 0.168, 0.775], [0.501, 0.757, 0.515], [0.499, 0.243, 0.485]]}

Computed electronic total energy, in the same sequence as the records: -5.405; -5.474; -5.485; -5.708; -5.737; -5.164; -6.073; -5.072; -5.091; -6.137; -6.092; -5.137; -6.918; -5.638; -5.244; -5.354; -6.755; -5.328; -5.342; -6.924; -6.877; -5.776 eV/atom.